# 1
Here is a PBEsol-optimized structure of MgIrPdSe2 from Alexandria. Energies are from SCAN.

SG   P4/mmm, No. 123
Total moment   0.308 μB per atom
Uncorrected formation energy   675 meV/atom

Lattice parameters (Å, degrees): 4.797 4.797 4.814 90.00 90.00 90.00
Element x y z (fractional)
Mg1 0.000 0.000 0.000
Ir1 0.500 0.500 0.000
Pd1 0.500 0.500 0.500
Se1 0.000 0.500 0.500
Se2 0.500 0.000 0.500

***

# 2
Here is a PBEsol-optimized structure of BeGeMoC2 from Alexandria. Energies are from SCAN.

SG   P4/mmm, No. 123
Total moment   0.379 μB per atom
Energy of formation   2506 meV/atom

Lattice parameters (Å, degrees): 3.753 3.753 4.983 90.00 90.00 90.00
Element x y z (fractional)
Be1 0.000 0.000 0.000
Ge1 0.500 0.500 0.500
Mo1 0.500 0.500 0.000
C1 0.000 0.500 0.500
C2 0.500 0.000 0.500

***

# 3
Here is a PBEsol-optimized structure of CsTeF5 from Alexandria. Energies are from SCAN.

SG   Pnma, No. 62
Total moment   0.000 μB per atom
Uncorrected formation energy   -2536 meV/atom

Lattice parameters (Å, degrees): 10.375 6.421 8.211 90.00 90.00 90.00
Element x y z (fractional)
Cs1 0.168 0.250 0.130
Cs2 0.332 0.750 0.630
Cs3 0.668 0.250 0.370
Cs4 0.832 0.750 0.870
Te1 0.067 0.250 0.634
Te2 0.433 0.750 0.134
Te3 0.567 0.250 0.866
Te4 0.933 0.750 0.366
F1 0.068 0.032 0.807
F2 0.068 0.468 0.807
F3 0.131 0.036 0.474
F4 0.131 0.464 0.474
F5 0.246 0.250 0.687
F6 0.254 0.750 0.187
F7 0.369 0.536 0.974
F8 0.369 0.964 0.974
F9 0.432 0.532 0.307
F10 0.432 0.968 0.307
F11 0.568 0.032 0.693
F12 0.568 0.468 0.693
F13 0.631 0.036 0.026
F14 0.631 0.464 0.026
F15 0.746 0.250 0.813
F16 0.754 0.750 0.313
F17 0.869 0.536 0.526
F18 0.869 0.964 0.526
F19 0.932 0.532 0.193
F20 0.932 0.968 0.193

***

# 4
Here is a PBEsol-optimized structure of LiSc2Rh from Alexandria. Energies are from SCAN.

SG   Fm-3m, No. 225
Total moment   0.000 μB per atom
Energy of formation   -637 meV/atom

Lattice parameters (Å, degrees): 4.585 4.585 4.585 60.00 60.00 60.00
Element x y z (fractional)
Li1 0.000 0.000 0.000
Sc1 0.250 0.250 0.250
Sc2 0.750 0.750 0.750
Rh1 0.500 0.500 0.500